[1]
A plane-wave DFT calculation with meta-GGA SCAN was carried out for Sc2AsPb at its PBEsol-relaxed geometry.

## Properties
Polymorph energy (0 for the lowest one): 265.7 meV per atom
Space group: P4/mmm, No. 123
Energy of formation: -17.90 kcal/mol of atoms

abc: 3.3464 3.3464 7.5867
angles: 90.00 90.00 90.00
Atoms (fractional coordinates):
Sc 0.0000 0.0000 0.7942
Sc 0.0000 0.0000 0.2058
Pb 0.5000 0.5000 0.5000
As 0.5000 0.5000 0.0000



[2]
A plane-wave DFT calculation with meta-GGA SCAN was carried out for CuHg2Os at its PBEsol-relaxed geometry.

## Properties
Polymorph energy (0 for the lowest one): 83.2 meV per atom
Space group: P4/mmm, No. 123
Energy of formation: 16.44 kcal/mol of atoms

abc: 2.8843 2.8843 7.7749
angles: 90.00 90.00 90.00
Atoms (fractional coordinates):
Cu 0.5000 0.5000 0.5000
Hg 0.0000 0.0000 0.7392
Hg 0.0000 0.0000 0.2608
Os 0.5000 0.5000 0.0000



[3]
A plane-wave DFT calculation with meta-GGA SCAN was carried out for RhAu at its PBEsol-relaxed geometry.

## Properties
Space group: P6_3/mmc, No. 194
Energy of formation: 5.01 kcal/mol of atoms

abc: 2.7791 2.7791 9.0908
angles: 90.00 90.00 120.00
Atoms (fractional coordinates):
Au 0.0000 0.0000 0.0000
Au 0.0000 0.0000 0.5000
Rh 0.3333 0.6667 0.2500
Rh 0.6667 0.3333 0.7500



[4]
A plane-wave DFT calculation with meta-GGA SCAN was carried out for SnMoN2O at its PBEsol-relaxed geometry.

## Properties
Space group: P4/mmm, No. 123
Raw formation energy: 0.88 eV per atom

abc: 3.9257 4.0510 4.0510
angles: 90.00 90.00 90.00
Atoms (fractional coordinates):
Mo 0.5000 0.5000 0.5000
O 0.5000 0.0000 0.0000
N 0.0000 0.0000 0.5000
N 0.0000 0.5000 0.0000
Sn 0.0000 0.0000 0.0000



[5]
A plane-wave DFT calculation with meta-GGA SCAN was carried out for P2O2F3 at its PBEsol-relaxed geometry.

## Properties
Space group: P3c1, No. 158
Raw formation energy: -2.26 eV per atom

abc: 9.1601 12.8661 12.8661
angles: 120.00 90.00 90.00
Atoms (fractional coordinates):
P 0.4129 0.1569 0.9466
P 0.6464 0.4402 0.8838
P 0.7082 0.7924 0.5509
P 0.9129 0.7897 0.9466
P 0.1464 0.4436 0.8838
P 0.7082 0.7585 0.2076
P 0.1464 0.4402 0.5564
P 0.2082 0.7924 0.2415
P 0.9129 0.1569 0.2103
P 0.4129 0.7897 0.8431
P 0.1464 0.1162 0.5598
P 0.9527 0.3333 0.6667
P 0.9129 0.0534 0.8431
P 0.2082 0.4491 0.2076
P 0.6060 0.0000 0.0000
P 0.1060 0.0000 0.0000
P 0.6464 0.4436 0.5598
P 0.5118 0.6667 0.3333
P 0.4129 0.0534 0.2103
P 0.0118 0.6667 0.3333
P 0.7082 0.4491 0.2415
P 0.4527 0.3333 0.6667
P 0.2082 0.7585 0.5509
P 0.6464 0.1162 0.5564
F 0.0123 0.0969 0.7701
F 0.2268 0.3391 0.8943
F 0.2847 0.4335 0.3099
F 0.5471 0.5141 0.0008
F 0.2847 0.8765 0.5665
F 0.7268 0.1057 0.6609
F 0.5123 0.6732 0.7701
F 0.5471 0.4866 0.4859
F 0.0471 0.4866 0.0008
F 0.7268 0.5552 0.8943
F 0.8355 0.7463 0.8213
F 0.0123 0.2299 0.3268
F 0.7847 0.4335 0.1235
F 0.3355 0.7463 0.9250
F 0.8355 0.0750 0.2537
F 0.2847 0.6901 0.1235
F 0.2268 0.5552 0.6609
F 0.0471 0.5141 0.5134
F 0.1106 0.8251 0.6699
F 0.2268 0.1057 0.4448
F 0.7847 0.8765 0.3099
F 0.1106 0.8448 0.1749
F 0.7268 0.3391 0.4448
F 0.8355 0.1787 0.9250
F 0.3355 0.1787 0.2537
F 0.5123 0.2299 0.9031
F 0.6106 0.3301 0.1749
F 0.6106 0.8251 0.1552
F 0.0471 0.9992 0.4859
F 0.0123 0.6732 0.9031
F 0.5123 0.0969 0.3268
F 0.5471 0.9992 0.5134
F 0.3355 0.0750 0.8213
F 0.7847 0.6901 0.5665
F 0.6106 0.8448 0.6699
F 0.1106 0.3301 0.1552
O 0.5432 0.0584 0.9276
O 0.8500 0.6667 0.3333
O 0.0740 0.7548 0.4616
O 0.0432 0.0584 0.1308
O 0.5740 0.5384 0.2452
O 0.0740 0.7069 0.2452
O 0.5740 0.7069 0.4616
O 0.5157 0.4335 0.7901
O 0.5432 0.8692 0.9416
O 0.0740 0.5384 0.2931
O 0.7910 0.3333 0.6667
O 0.0432 0.8692 0.9276
O 0.0157 0.3566 0.7901
O 0.5740 0.7548 0.2931
O 0.2678 0.0000 0.0000
O 0.0432 0.0724 0.9416
O 0.3500 0.6667 0.3333
O 0.0157 0.2099 0.5665
O 0.7678 0.0000 0.0000
O 0.5157 0.3566 0.5665
O 0.5432 0.0724 0.1308
O 0.2910 0.3333 0.6667
O 0.5157 0.2099 0.6434
O 0.0157 0.4335 0.6434



[6]
A plane-wave DFT calculation with meta-GGA SCAN was carried out for SrCaMn2O6 at its PBEsol-relaxed geometry.

## Properties
Polymorph energy (0 for the lowest one): 0.0 meV per atom
Space group: I-42m, No. 121
Raw formation energy: -2.67 eV per atom

abc: 5.2534 5.3307 5.2534
angles: 60.48 90.00 119.52
Atoms (fractional coordinates):
O 0.0000 0.0000 0.5000
O 0.0564 0.5213 0.5351
O 0.5351 0.4787 0.4649
O 0.9436 0.4787 0.0564
O 0.4649 0.5213 0.9436
O 0.5000 0.0000 0.0000
Sr 0.0000 0.0000 0.0000
Mn 0.7500 0.5000 0.7500
Mn 0.2500 0.5000 0.2500
Ca 0.5000 0.0000 0.5000



[7]
A plane-wave DFT calculation with meta-GGA SCAN was carried out for K2ZnCoAu at its PBEsol-relaxed geometry.

## Properties
Space group: P4/mmm, No. 123
Energy of formation: 11.58 kcal/mol of atoms

abc: 4.7104 5.8945 5.8945
angles: 90.00 90.00 90.00
Atoms (fractional coordinates):
K 0.0000 0.5000 0.0000
K 0.0000 0.0000 0.5000
Co 0.0000 0.0000 0.0000
Au 0.5000 0.0000 0.0000
Zn 0.5000 0.5000 0.5000



[8]
A plane-wave DFT calculation with meta-GGA SCAN was carried out for CrCo3N at its PBEsol-relaxed geometry.

## Properties
Space group: Pm-3m, No. 221
Raw formation energy: 2.38 eV per atom

abc: 4.0745 4.0745 4.0745
angles: 90.00 90.00 90.00
Atoms (fractional coordinates):
N 0.5000 0.5000 0.5000
Co 0.0000 0.0000 0.5000
Co 0.5000 0.0000 0.0000
Co 0.0000 0.5000 0.0000
Cr 0.0000 0.0000 0.0000



Please write out number 5 again, unchanged.
A plane-wave DFT calculation with meta-GGA SCAN was carried out for P2O2F3 at its PBEsol-relaxed geometry.

## Properties
Space group: P3c1, No. 158
Raw formation energy: -2.26 eV per atom

abc: 9.1601 12.8661 12.8661
angles: 120.00 90.00 90.00
Atoms (fractional coordinates):
P 0.4129 0.1569 0.9466
P 0.6464 0.4402 0.8838
P 0.7082 0.7924 0.5509
P 0.9129 0.7897 0.9466
P 0.1464 0.4436 0.8838
P 0.7082 0.7585 0.2076
P 0.1464 0.4402 0.5564
P 0.2082 0.7924 0.2415
P 0.9129 0.1569 0.2103
P 0.4129 0.7897 0.8431
P 0.1464 0.1162 0.5598
P 0.9527 0.3333 0.6667
P 0.9129 0.0534 0.8431
P 0.2082 0.4491 0.2076
P 0.6060 0.0000 0.0000
P 0.1060 0.0000 0.0000
P 0.6464 0.4436 0.5598
P 0.5118 0.6667 0.3333
P 0.4129 0.0534 0.2103
P 0.0118 0.6667 0.3333
P 0.7082 0.4491 0.2415
P 0.4527 0.3333 0.6667
P 0.2082 0.7585 0.5509
P 0.6464 0.1162 0.5564
F 0.0123 0.0969 0.7701
F 0.2268 0.3391 0.8943
F 0.2847 0.4335 0.3099
F 0.5471 0.5141 0.0008
F 0.2847 0.8765 0.5665
F 0.7268 0.1057 0.6609
F 0.5123 0.6732 0.7701
F 0.5471 0.4866 0.4859
F 0.0471 0.4866 0.0008
F 0.7268 0.5552 0.8943
F 0.8355 0.7463 0.8213
F 0.0123 0.2299 0.3268
F 0.7847 0.4335 0.1235
F 0.3355 0.7463 0.9250
F 0.8355 0.0750 0.2537
F 0.2847 0.6901 0.1235
F 0.2268 0.5552 0.6609
F 0.0471 0.5141 0.5134
F 0.1106 0.8251 0.6699
F 0.2268 0.1057 0.4448
F 0.7847 0.8765 0.3099
F 0.1106 0.8448 0.1749
F 0.7268 0.3391 0.4448
F 0.8355 0.1787 0.9250
F 0.3355 0.1787 0.2537
F 0.5123 0.2299 0.9031
F 0.6106 0.3301 0.1749
F 0.6106 0.8251 0.1552
F 0.0471 0.9992 0.4859
F 0.0123 0.6732 0.9031
F 0.5123 0.0969 0.3268
F 0.5471 0.9992 0.5134
F 0.3355 0.0750 0.8213
F 0.7847 0.6901 0.5665
F 0.6106 0.8448 0.6699
F 0.1106 0.3301 0.1552
O 0.5432 0.0584 0.9276
O 0.8500 0.6667 0.3333
O 0.0740 0.7548 0.4616
O 0.0432 0.0584 0.1308
O 0.5740 0.5384 0.2452
O 0.0740 0.7069 0.2452
O 0.5740 0.7069 0.4616
O 0.5157 0.4335 0.7901
O 0.5432 0.8692 0.9416
O 0.0740 0.5384 0.2931
O 0.7910 0.3333 0.6667
O 0.0432 0.8692 0.9276
O 0.0157 0.3566 0.7901
O 0.5740 0.7548 0.2931
O 0.2678 0.0000 0.0000
O 0.0432 0.0724 0.9416
O 0.3500 0.6667 0.3333
O 0.0157 0.2099 0.5665
O 0.7678 0.0000 0.0000
O 0.5157 0.3566 0.5665
O 0.5432 0.0724 0.1308
O 0.2910 0.3333 0.6667
O 0.5157 0.2099 0.6434
O 0.0157 0.4335 0.6434